Entry from the Alexandria database: a relaxed B2P2S crystal (PBE).

Structure (POSCAR):
```
B2P2S
1.0
3.1424 -2.9969 0.0000
3.1424 2.9969 0.0000
-1.8434 0.0000 3.7334
B P S
2 2 1
Cartesian
-0.1116 0.0000 1.5330
4.5529 0.0000 2.2003
1.2578 -1.0327 2.5273
3.1835 -1.0327 1.2061
3.1424 1.9199 0.0000
```

## Properties
The excess energy over the best structure of this formula in the dataset is 4.32 kcal/mol of atoms. The calculation puts the total DFT energy (no corrections) at -28.1 eV/f.u. The formation energy from raw total energies comes out at 0.04 eV per atom.

---

Entry from the Alexandria database: a relaxed Mg3Zn8Ru crystal (PBE).

Structure (POSCAR):
```
Mg3Zn8Ru
1.0
5.1199 0.0000 0.0000
-2.5599 4.4340 0.0000
0.0000 0.0000 8.2216
Mg Zn Ru
3 8 1
Cartesian
0.0000 0.0000 0.0000
0.0000 0.0000 3.2129
0.0000 2.9560 6.9909
-1.2369 2.2419 1.6169
1.2527 0.7232 5.6123
1.2369 2.2419 1.6169
0.0000 4.3842 1.6169
2.5599 1.4780 3.6242
2.5599 1.4780 7.7676
3.8672 0.7232 5.6123
2.5599 2.9875 5.6123
0.0000 2.9560 4.0497
```

## Properties
The calculation puts the total DFT energy (no corrections) at -25.6 eV/f.u. The value obtained for the formation energy is -2.62 kcal/mol of atoms.

---

Entry from the Alexandria database: a relaxed RbMnW2 crystal (PBE).

Structure (POSCAR):
```
RbMnW2
1.0
0.0000 3.2222 3.2222
3.2222 0.0000 3.2222
3.2222 3.2222 0.0000
Rb Mn W
1 1 2
Cartesian
0.0000 0.0000 0.0000
3.2222 3.2222 3.2222
1.6111 1.6111 1.6111
4.8333 4.8333 4.8333
```

## Properties
The excess energy over the best structure of this formula in the dataset is 1.04 kcal/mol of atoms. The calculation puts the total DFT energy (no corrections) at -27.5 eV/f.u. The value obtained for the formation energy is 49.35 kcal/mol of atoms.

---

Entry from the Alexandria database: a relaxed InGeBi2 crystal (PBE).

Structure (POSCAR):
```
InGeBi2
1.0
4.8241 0.0000 0.0000
0.0000 4.8241 0.0000
0.0000 0.0000 4.8181
In Ge Bi
1 1 2
Cartesian
0.0000 0.0000 0.0000
2.4120 2.4120 0.0000
0.0000 2.4120 2.4090
2.4120 0.0000 2.4090
```

## Properties
The calculation puts the total DFT energy (no corrections) at -14.4 eV/f.u. The value obtained for the formation energy is 4.26 kcal/mol of atoms.

---

Entry from the Alexandria database: a relaxed YHoGePd crystal (PBE).

Structure (POSCAR):
```
YHoGePd
1.0
0.0000 3.5403 3.5403
3.5403 0.0000 3.5403
3.5403 3.5403 0.0000
Y Ho Ge Pd
1 1 1 1
Cartesian
0.0000 0.0000 0.0000
3.5403 3.5403 3.5403
1.7701 1.7701 1.7701
5.3104 5.3104 5.3104
```

## Properties
The excess energy over the best structure of this formula in the dataset is 1.87 kcal/mol of atoms. The calculation puts the total DFT energy (no corrections) at -24.1 eV/f.u. The value obtained for the formation energy is -18.87 kcal/mol of atoms.

---

Entry from the Alexandria database: a relaxed KSmCuTe2 crystal (PBE).

Structure (POSCAR):
```
KSmCuTe2
1.0
8.5825 0.0000 0.0000
0.0000 4.7069 0.0000
-1.2451 0.0000 8.5138
K Sm Cu Te
2 2 2 4
Cartesian
-0.3113 0.8869 2.1284
-0.9338 3.8200 6.3853
3.3574 2.3223 6.3853
3.9800 2.3846 2.1284
4.2913 0.0000 0.0000
3.6687 0.0000 4.2569
1.0039 1.4177 8.2381
1.6264 3.2892 3.9812
5.7110 1.4177 4.5326
6.3335 3.2892 0.2757
```

## Properties
The calculation puts the total DFT energy (no corrections) at -20.1 eV/f.u. The formation energy from raw total energies comes out at -0.78 eV per atom.